Below is an optimized crystal structure of ErHgPb6, with properties calculated at the PBE-GGA level.

Cell and atoms, written as CIF:
```
data_ErHgPb6
_chemical_formula_sum 'Er1 Hg1 Pb6'
_symmetry_space_group_name_H-M 'P 4/m m m'
_symmetry_Int_Tables_number 123
_symmetry_space_group_name_Hall '-P 4 2'
_cell_length_a 6.7266
_cell_length_b 6.7266
_cell_length_c 5.2374
_cell_angle_alpha 90.00
_cell_angle_beta 90.00
_cell_angle_gamma 90.00
loop_
_atom_site_label
_atom_site_type_symbol
_atom_site_fract_x
_atom_site_fract_y
_atom_site_fract_z
Er1 Er 0.0000 0.0000 0.0000
Hg1 Hg 0.5000 0.5000 0.0000
Pb1 Pb 0.0000 0.5000 0.0000
Pb2 Pb 0.2503 0.2503 0.5000
```

Summary:
M_tot: 0.00 μB per cell
N(E_F): 0.608 states/eV/atom
Volume: 29.62 Å³ per atom
VASP energy: -27.8 eV per cell

Below is an optimized crystal structure of Er3HgPb3, with properties calculated at the PBE-GGA level.

Cell and atoms, written as CIF:
```
data_Er3HgPb3
_chemical_formula_sum 'Er6 Hg2 Pb6'
_symmetry_space_group_name_H-M 'P 63/m'
_symmetry_Int_Tables_number 176
_symmetry_space_group_name_Hall '-P 6c'
_cell_length_a 8.8245
_cell_length_b 8.8245
_cell_length_c 5.7779
_cell_angle_alpha 90.00
_cell_angle_beta 90.00
_cell_angle_gamma 120.00
loop_
_atom_site_label
_atom_site_type_symbol
_atom_site_fract_x
_atom_site_fract_y
_atom_site_fract_z
Er1 Er 0.0895 0.6366 0.2500
Hg1 Hg 0.3333 0.6667 0.7500
Pb1 Pb 0.0552 0.7963 0.7500
```

Summary:
M_tot: 0.00 μB per cell
N(E_F): 0.814 states/eV/atom
Volume: 27.83 Å³ per atom
VASP energy: -53.7 eV per cell

Below is an optimized crystal structure of ErHg4Pb, with properties calculated at the PBE-GGA level.

Cell and atoms, written as CIF:
```
data_ErHg4Pb
_chemical_formula_sum 'Er2 Hg8 Pb2'
_symmetry_space_group_name_H-M 'C 1 2/m 1'
_symmetry_Int_Tables_number 12
_cell_length_a 8.8383
_cell_length_b 5.1201
_cell_length_c 6.6638
_cell_angle_alpha 90.00
_cell_angle_beta 90.67
_cell_angle_gamma 90.00
loop_
_symmetry_equiv_pos_as_xyz
'x,y,z'
'-x,-y,-z'
'-x,y,-z'
'x,-y,z'
'x+1/2,y+1/2,z'
'-x+1/2,-y+1/2,-z'
'-x+1/2,y+1/2,-z'
'x+1/2,-y+1/2,z'
loop_
_atom_site_label
_atom_site_type_symbol
_atom_site_fract_x
_atom_site_fract_y
_atom_site_fract_z
Er1 Er 0.0000 0.0000 0.0000
Hg1 Hg 0.1663 0.5000 0.2309
Hg2 Hg 0.1673 0.5000 0.7684
Pb1 Pb 0.0000 0.0000 0.5000
```

Summary:
M_tot: 0.00 μB per cell
N(E_F): 0.455 states/eV/atom
Volume: 25.13 Å³ per atom
ΔE to the lowest computed polymorph: 0 meV/atom

Below is an optimized crystal structure of Er5Hg2Pb2, with properties calculated at the PBE-GGA level.

Cell and atoms, written as CIF:
```
data_Er5Hg2Pb2
_chemical_formula_sum 'Er20 Hg8 Pb8'
_symmetry_space_group_name_H-M 'C m c e'
_symmetry_Int_Tables_number 64
_symmetry_space_group_name_Hall '-C 2ac 2'
_cell_length_a 15.7170
_cell_length_b 8.2817
_cell_length_c 7.7523
_cell_angle_alpha 90.00
_cell_angle_beta 90.00
_cell_angle_gamma 90.00
loop_
_atom_site_label
_atom_site_type_symbol
_atom_site_fract_x
_atom_site_fract_y
_atom_site_fract_z
Er1 Er 0.0000 0.0000 0.0000
Er2 Er 0.1334 0.1746 0.3368
Hg1 Hg 0.0000 0.1325 0.6320
Pb1 Pb 0.2092 0.0000 0.0000
```

Summary:
M_tot: 0.00 μB per cell
N(E_F): 1.058 states/eV/atom
Volume: 28.03 Å³ per atom
VASP energy: -138.5 eV per cell

Below is an optimized crystal structure of Er2HgPb, with properties calculated at the PBE-GGA level.

Cell and atoms, written as CIF:
```
data_Er2HgPb
_chemical_formula_sum 'Er4 Hg2 Pb2'
_symmetry_space_group_name_H-M 'P 1 21/m 1'
_symmetry_Int_Tables_number 11
_cell_length_a 6.1271
_cell_length_b 4.4283
_cell_length_c 8.6428
_cell_angle_alpha 90.00
_cell_angle_beta 109.68
_cell_angle_gamma 90.00
loop_
_symmetry_equiv_pos_as_xyz
'x,y,z'
'-x,-y,-z'
'-x,y+1/2,-z'
'x,-y+1/2,z'
loop_
_atom_site_label
_atom_site_type_symbol
_atom_site_fract_x
_atom_site_fract_y
_atom_site_fract_z
Er1 Er 0.1927 0.2500 0.4319
Er2 Er 0.2850 0.7500 0.0654
Hg1 Hg 0.1067 0.2500 0.7988
Pb1 Pb 0.3935 0.7500 0.7065
```

Summary:
M_tot: 0.00 μB per cell
N(E_F): 0.847 states/eV/atom
Volume: 27.60 Å³ per atom
VASP energy: -29.7 eV per cell

Below is an optimized crystal structure of Er4HgPb, with properties calculated at the PBE-GGA level.

Cell and atoms, written as CIF:
```
data_Er4HgPb
_chemical_formula_sum 'Er16 Hg4 Pb4'
_symmetry_space_group_name_H-M 'C 1 2/c 1'
_symmetry_Int_Tables_number 15
_cell_length_a 9.0541
_cell_length_b 13.7224
_cell_length_c 6.2213
_cell_angle_alpha 90.00
_cell_angle_beta 115.75
_cell_angle_gamma 90.00
loop_
_symmetry_equiv_pos_as_xyz
'x,y,z'
'-x,-y,-z'
'-x,y,-z+1/2'
'x,-y,z+1/2'
'x+1/2,y+1/2,z'
'-x+1/2,-y+1/2,-z'
'-x+1/2,y+1/2,-z+1/2'
'x+1/2,-y+1/2,z+1/2'
loop_
_atom_site_label
_atom_site_type_symbol
_atom_site_fract_x
_atom_site_fract_y
_atom_site_fract_z
Er1 Er 0.1136 0.1850 0.0760
Er2 Er 0.2042 0.4203 0.3218
Hg1 Hg 0.0000 0.0002 0.2500
Pb1 Pb 0.0000 0.3773 0.7500
```

Summary:
M_tot: 0.01 μB per cell
N(E_F): 1.125 states/eV/atom
Volume: 29.01 Å³ per atom
VASP energy: -95.4 eV per cell

Below is an optimized crystal structure of Er8Hg2Pb, with properties calculated at the PBE-GGA level.

Cell and atoms, written as CIF:
```
data_Er8Hg2Pb
_chemical_formula_sum 'Er16 Hg4 Pb2'
_symmetry_space_group_name_H-M 'C 1 2/m 1'
_symmetry_Int_Tables_number 12
_cell_length_a 8.7679
_cell_length_b 14.2059
_cell_length_c 5.5068
_cell_angle_alpha 90.00
_cell_angle_beta 109.27
_cell_angle_gamma 90.00
loop_
_symmetry_equiv_pos_as_xyz
'x,y,z'
'-x,-y,-z'
'-x,y,-z'
'x,-y,z'
'x+1/2,y+1/2,z'
'-x+1/2,-y+1/2,-z'
'-x+1/2,y+1/2,-z'
'x+1/2,-y+1/2,z'
loop_
_atom_site_label
_atom_site_type_symbol
_atom_site_fract_x
_atom_site_fract_y
_atom_site_fract_z
Er1 Er 0.0000 0.2280 0.0000
Er2 Er 0.1003 0.5000 0.7984
Er3 Er 0.2112 0.1177 0.6144
Hg1 Hg 0.0000 0.3036 0.5000
Pb1 Pb 0.0000 0.0000 0.0000
```

Summary:
M_tot: 0.33 μB per cell
N(E_F): 1.415 states/eV/atom
Volume: 29.43 Å³ per atom
VASP energy: -85.0 eV per cell

Below is an optimized crystal structure of ErHg5Pb2, with properties calculated at the PBE-GGA level.

Cell and atoms, written as CIF:
```
data_ErHg5Pb2
_chemical_formula_sum 'Er2 Hg10 Pb4'
_symmetry_space_group_name_H-M 'I 4/m m m'
_symmetry_Int_Tables_number 139
_symmetry_space_group_name_Hall '-I 4 2'
_cell_length_a 4.6854
_cell_length_b 4.6854
_cell_length_c 19.1417
_cell_angle_alpha 90.00
_cell_angle_beta 90.00
_cell_angle_gamma 90.00
loop_
_atom_site_label
_atom_site_type_symbol
_atom_site_fract_x
_atom_site_fract_y
_atom_site_fract_z
Er1 Er 0.0000 0.0000 0.0000
Hg1 Hg 0.0000 0.0000 0.5000
Hg2 Hg 0.0000 0.5000 0.1155
Pb1 Pb 0.0000 0.0000 0.2345
```

Summary:
M_tot: 0.00 μB per cell
N(E_F): 0.451 states/eV/atom
Volume: 26.26 Å³ per atom
VASP energy: -29.4 eV per cell

Below is an optimized crystal structure of ErHg6Pb, with properties calculated at the PBE-GGA level.

Cell and atoms, written as CIF:
```
data_ErHg6Pb
_chemical_formula_sum 'Er1 Hg6 Pb1'
_symmetry_space_group_name_H-M 'P 4/m m m'
_symmetry_Int_Tables_number 123
_symmetry_space_group_name_Hall '-P 4 2'
_cell_length_a 4.6729
_cell_length_b 4.6729
_cell_length_c 9.2897
_cell_angle_alpha 90.00
_cell_angle_beta 90.00
_cell_angle_gamma 90.00
loop_
_atom_site_label
_atom_site_type_symbol
_atom_site_fract_x
_atom_site_fract_y
_atom_site_fract_z
Er1 Er 0.0000 0.0000 0.0000
Hg1 Hg 0.0000 0.5000 0.2392
Hg2 Hg 0.5000 0.5000 0.0000
Hg3 Hg 0.5000 0.5000 0.5000
Pb1 Pb 0.0000 0.0000 0.5000
```

Summary:
M_tot: 0.00 μB per cell
N(E_F): 0.643 states/eV/atom
Volume: 25.36 Å³ per atom
ΔE to the lowest computed polymorph: 0 meV/atom

Below is an optimized crystal structure of Er2Hg3Pb, with properties calculated at the PBE-GGA level.

Cell and atoms, written as CIF:
```
data_Er2Hg3Pb
_chemical_formula_sum 'Er8 Hg12 Pb4'
_symmetry_space_group_name_H-M 'C m c m'
_symmetry_Int_Tables_number 63
_symmetry_space_group_name_Hall '-C 2c 2'
_cell_length_a 9.9197
_cell_length_b 10.0260
_cell_length_c 6.6884
_cell_angle_alpha 90.00
_cell_angle_beta 90.00
_cell_angle_gamma 90.00
loop_
_atom_site_label
_atom_site_type_symbol
_atom_site_fract_x
_atom_site_fract_y
_atom_site_fract_z
Er1 Er 0.2295 0.0000 0.0000
Hg1 Hg 0.0000 0.5005 0.2500
Hg2 Hg 0.1564 0.2447 0.2500
Pb1 Pb 0.0000 0.2005 0.7500
```

Summary:
M_tot: 0.00 μB per cell
N(E_F): 0.736 states/eV/atom
Volume: 27.72 Å³ per atom
ΔE to the lowest computed polymorph: 0 meV/atom

Below is an optimized crystal structure of ErHgPdPb, with properties calculated at the PBE-GGA level.

Cell and atoms, written as CIF:
```
data_ErHgPdPb
_chemical_formula_sum 'Er4 Hg4 Pd4 Pb4'
_symmetry_space_group_name_H-M 'F -4 3 m'
_symmetry_Int_Tables_number 216
_symmetry_space_group_name_Hall 'F -4 2 3'
_cell_length_a 7.1365
_cell_length_b 7.1365
_cell_length_c 7.1365
_cell_angle_alpha 90.00
_cell_angle_beta 90.00
_cell_angle_gamma 90.00
loop_
_atom_site_label
_atom_site_type_symbol
_atom_site_fract_x
_atom_site_fract_y
_atom_site_fract_z
Er1 Er 0.0000 0.0000 0.0000
Hg1 Hg 0.2500 0.2500 0.2500
Pd1 Pd 0.2500 0.2500 0.7500
Pb1 Pb 0.0000 0.0000 0.5000
```

Summary:
M_tot: 0.00 μB per cell
N(E_F): 0.622 states/eV/atom
Volume: 22.72 Å³ per atom
VASP energy: -61.9 eV per cell

Below is an optimized crystal structure of PmErHgPb, with properties calculated at the PBE-GGA level.

Cell and atoms, written as CIF:
```
data_PmErHgPb
_chemical_formula_sum 'Pm4 Er4 Hg4 Pb4'
_symmetry_space_group_name_H-M 'F -4 3 m'
_symmetry_Int_Tables_number 216
_symmetry_space_group_name_Hall 'F -4 2 3'
_cell_length_a 7.6114
_cell_length_b 7.6114
_cell_length_c 7.6114
_cell_angle_alpha 90.00
_cell_angle_beta 90.00
_cell_angle_gamma 90.00
loop_
_atom_site_label
_atom_site_type_symbol
_atom_site_fract_x
_atom_site_fract_y
_atom_site_fract_z
Pm1 Pm 0.0000 0.0000 0.0000
Er1 Er 0.0000 0.0000 0.5000
Hg1 Hg 0.2500 0.2500 0.7500
Pb1 Pb 0.2500 0.2500 0.2500
```

Summary:
M_tot: 0.00 μB per cell
N(E_F): 1.210 states/eV/atom
Volume: 27.56 Å³ per atom
ΔE to the lowest computed polymorph: 7 meV/atom